Entry 1:
DFT (GGA-PBE) results for an optimized crystal structure of NaGdSn.

Properties
SG	F-43m (216)
energy	-3.63	eV/atom

Cell and atoms, written as POSCAR:
```
NaGdSn
1.0
0.0000 3.6438 3.6438
3.6438 0.0000 3.6438
3.6438 3.6438 0.0000
Sn Gd Na
1 1 1
Direct
0.0000 0.0000 0.0000
0.2500 0.2500 0.2500
0.7500 0.7500 0.7500
```



Entry 2:
DFT (GGA-PBE) results for an optimized crystal structure of RbAg3SnSe4.

Properties
SG	P-43m (215)
energy	-3.39	eV/atom

Cell and atoms, written as POSCAR:
```
RbAg3SnSe4
1.0
-1.4180 4.4557 -4.7720
-5.4715 -3.4753 -1.6190
-3.5620 3.5645 4.3866
Ag Se Sn Rb
3 4 1 1
Direct
0.0000 0.5000 0.5000
0.5000 0.0000 0.5000
0.5000 0.5000 0.0000
0.2804 0.7196 0.7196
0.7196 0.2804 0.7196
0.7196 0.7196 0.2804
0.2804 0.2804 0.2804
0.5000 0.5000 0.5000
0.0000 0.0000 0.0000
```



Entry 3:
DFT (GGA-PBE) results for an optimized crystal structure of PrMoPt.

Properties
SG	F-43m (216)
energy	-6.34	eV/atom
energy of formation	86	kJ per mole of atoms
energy above the lowest structure with this stoichiometry	0.564	eV per atom

Cell and atoms, written as POSCAR:
```
PrMoPt
1.0
-1.1016 0.8331 4.5182
0.9558 4.2062 1.9277
-3.5205 2.9653 1.0651
Pr Mo Pt
1 1 1
Direct
0.0000 0.0000 0.0000
0.2500 0.2500 0.2500
0.7500 0.7500 0.7500
```



Entry 4:
DFT (GGA-PBE) results for an optimized crystal structure of Li4MgZn.

Properties
SG	Amm2 (38)
energy	-1.80	eV/atom

Cell and atoms, written as POSCAR:
```
Li4MgZn
1.0
-4.1285 -2.0705 0.1395
2.3523 -4.7054 -0.2229
-1.2453 2.7728 4.2993
Li Zn Mg
4 1 1
Direct
0.0000 0.9211 0.5953
0.5000 0.4123 0.0693
0.0000 0.5953 0.9211
0.5000 0.0693 0.4123
0.5000 0.7411 0.7411
0.0000 0.2608 0.2608
```



Entry 5:
DFT (GGA-PBE) results for an optimized crystal structure of KZrFeSe3.

Properties
SG	P2_1/m (11)
energy	-5.79	eV/atom

Cell and atoms, written as POSCAR:
```
KZrFeSe3
1.0
-2.0030 3.7014 7.5751
-0.9377 -3.4383 1.4321
9.5159 -2.8235 -0.5481
Se Zr Fe K
6 2 2 2
Direct
0.2648 0.7500 0.9557
0.5996 0.7500 0.3471
0.0499 0.7500 0.3624
0.4004 0.2500 0.6529
0.7352 0.2500 0.0443
0.9501 0.2500 0.6376
0.1878 0.7500 0.6665
0.8122 0.2500 0.3335
0.5685 0.7500 0.0914
0.4315 0.2500 0.9086
0.7402 0.7500 0.7692
0.2598 0.2500 0.2308
```



Entry 6:
DFT (GGA-PBE) results for an optimized crystal structure of PmNdB4.

Properties
SG	P6/mmm (191)
energy	-6.36	eV/atom

Cell and atoms, written as POSCAR:
```
PmNdB4
1.0
3.3287 0.0000 0.0000
-1.6643 2.8827 0.0000
0.0000 0.0000 8.1996
B Nd Pm
4 1 1
Direct
0.3333 0.6667 0.2527
0.6667 0.3333 0.7473
0.6667 0.3333 0.2527
0.3333 0.6667 0.7473
0.0000 0.0000 0.0000
0.0000 0.0000 0.5000
```



Entry 7:
DFT (GGA-PBE) results for an optimized crystal structure of Co13W2.

Properties
SG	P4_2/mnm (136)
energy	-7.80	eV/atom
energy of formation	8	kJ per mole of atoms

Cell and atoms, written as POSCAR:
```
Co13W2
1.0
8.7097 0.0000 0.0000
0.0000 8.7097 0.0000
0.0000 0.0000 4.5193
Co W
26 4
Direct
0.1831 0.8169 0.2498
0.9349 0.7343 0.5000
0.7343 0.9349 0.5000
0.5651 0.2343 0.0000
0.9637 0.6281 0.0000
0.8169 0.1831 0.2498
0.4349 0.7657 0.0000
0.2343 0.5651 0.0000
0.0651 0.2657 0.5000
0.8719 0.4637 0.5000
0.7657 0.4349 0.0000
0.1281 0.5363 0.5000
0.0363 0.3719 0.0000
0.3169 0.3169 0.7498
0.8169 0.1831 0.7502
0.5000 0.5000 0.0000
0.2657 0.0651 0.5000
0.6831 0.6831 0.2502
0.6281 0.9637 0.0000
0.1831 0.8169 0.7502
0.5363 0.1281 0.5000
0.4637 0.8719 0.5000
0.0000 0.0000 0.5000
0.6831 0.6831 0.7498
0.3719 0.0363 0.0000
0.3169 0.3169 0.2502
0.8923 0.8923 0.0000
0.1077 0.1077 0.0000
0.3923 0.6077 0.5000
0.6077 0.3923 0.5000
```



Entry 8:
DFT (GGA-PBE) results for an optimized crystal structure of CdTePbO.

Properties
SG	P2_12_12_1 (19)
energy	-3.83	eV/atom
energy above the lowest structure with this stoichiometry	0.024	eV per atom

Cell and atoms, written as POSCAR:
```
CdTePbO
1.0
6.6667 0.0000 0.0000
0.0000 8.1533 0.0000
0.0000 0.0000 7.9092
Pb O Te Cd
4 4 4 4
Direct
0.1803 0.8885 0.5767
0.3197 0.1115 0.0767
0.6803 0.6115 0.4233
0.8197 0.3885 0.9233
0.1132 0.2418 0.9009
0.8868 0.7418 0.5991
0.3868 0.7582 0.4009
0.6132 0.2582 0.0991
0.6315 0.1544 0.6525
0.3685 0.6544 0.8475
0.1315 0.3456 0.3475
0.8685 0.8456 0.1525
0.7302 0.8450 0.8158
0.7698 0.1550 0.3158
0.2302 0.6550 0.1842
0.2698 0.3450 0.6842
```



Entry 9:
DFT (GGA-PBE) results for an optimized crystal structure of YZnCoIr.

Properties
SG	F-43m (216)
energy	-6.10	eV/atom
energy of formation	-18	kJ per mole of atoms
energy above the lowest structure with this stoichiometry	0.000	eV per atom

Cell and atoms, written as POSCAR:
```
YZnCoIr
1.0
-3.1415 -2.3688 2.2134
-3.2380 -2.1515 -2.2947
0.0033 -4.5091 -0.2174
Zn Co Y Ir
1 1 1 1
Direct
0.0000 0.0000 0.0000
0.7500 0.7500 0.7500
0.5000 0.5000 0.5000
0.2500 0.2500 0.2500
```



Entry 10:
DFT (GGA-PBE) results for an optimized crystal structure of LuGaNi2.

Properties
SG	F-43m (216)
energy	-4.94	eV/atom

Cell and atoms, written as POSCAR:
```
LuGaNi2
1.0
3.9919 1.4077 1.2607
0.4087 2.5809 3.5607
1.8423 -1.5948 3.6836
Lu Ni Ga
1 2 1
Direct
0.2500 0.2500 0.2500
0.0000 0.0000 0.0000
0.7500 0.7500 0.7500
0.5000 0.5000 0.5000
```



Entry 11:
DFT (GGA-PBE) results for an optimized crystal structure of Hf2IrAu.

Properties
SG	F-43m (216)
energy	-8.41	eV/atom
energy of formation	-39	kJ per mole of atoms

Cell and atoms, written as POSCAR:
```
Hf2IrAu
1.0
0.0000 3.2839 3.2839
3.2839 0.0000 3.2839
3.2839 3.2839 0.0000
Au Hf Ir
1 2 1
Direct
0.5000 0.5000 0.5000
0.0000 0.0000 0.0000
0.2500 0.2500 0.2500
0.7500 0.7500 0.7500
```



Entry 12:
DFT (GGA-PBE) results for an optimized crystal structure of TmLuGe2Pt.

Properties
SG	C2/m (12)
energy	-5.85	eV/atom

Cell and atoms, written as POSCAR:
```
TmLuGe2Pt
1.0
-4.2692 3.3485 -1.3226
-4.9768 1.1008 2.2819
7.8971 4.7001 4.4813
Ge Tm Lu Pt
4 2 2 2
Direct
0.3580 0.3580 0.9472
0.5285 0.5285 0.3873
0.4715 0.4715 0.6127
0.6420 0.6420 0.0528
0.8126 0.8126 0.3868
0.1874 0.1874 0.6132
0.9906 0.9906 0.1723
0.0094 0.0094 0.8277
0.2726 0.2726 0.1659
0.7274 0.7274 0.8341
```



Entry 13:
DFT (GGA-PBE) results for an optimized crystal structure of KDyCdO3.

Properties
SG	Cmcm (63)
energy	-5.61	eV/atom

Cell and atoms, written as POSCAR:
```
KDyCdO3
1.0
3.5817 0.0000 0.0000
0.0000 9.1293 0.0000
-1.7909 0.0000 6.4955
K Dy O Cd
2 2 6 2
Direct
0.6817 0.5000 0.3633
0.3183 0.0000 0.6367
0.0000 0.2500 0.0000
0.0000 0.7500 0.0000
0.3881 0.2725 0.7762
0.6119 0.7725 0.2238
0.9781 0.0000 0.9561
0.6119 0.2275 0.2238
0.3881 0.7275 0.7762
0.0220 0.5000 0.0439
0.5977 0.0000 0.1955
0.4023 0.5000 0.8045
```



Entry 14:
DFT (GGA-PBE) results for an optimized crystal structure of ZrCoCuB.

Properties
SG	F-43m (216)
energy	-6.30	eV/atom
energy above the lowest structure with this stoichiometry	0.000	eV per atom

Cell and atoms, written as POSCAR:
```
ZrCoCuB
1.0
0.0000 2.9498 2.9498
2.9498 0.0000 2.9498
2.9498 2.9498 0.0000
Co Cu B Zr
1 1 1 1
Direct
0.5000 0.5000 0.5000
0.7500 0.7500 0.7500
0.0000 0.0000 0.0000
0.2500 0.2500 0.2500
```



Entry 15:
DFT (GGA-PBE) results for an optimized crystal structure of SmDyPO.

Properties
SG	P4/nmm (129)
energy	-6.84	eV/atom
energy above the lowest structure with this stoichiometry	0.090	eV per atom

Cell and atoms, written as POSCAR:
```
SmDyPO
1.0
4.3552 0.0000 0.0000
0.0000 4.3552 0.0000
0.0000 0.0000 8.7452
Dy O Sm P
2 2 2 2
Direct
0.5000 0.5000 0.5000
0.0000 0.0000 0.5000
0.5000 0.5000 0.0000
0.0000 0.0000 0.0000
0.0000 0.5000 0.1084
0.5000 0.0000 0.8916
0.5000 0.0000 0.3087
0.0000 0.5000 0.6913
```



Entry 16:
DFT (GGA-PBE) results for an optimized crystal structure of PmSmPO.

Properties
SG	P4/nmm (129)
energy	-6.81	eV/atom
energy above the lowest structure with this stoichiometry	0.104	eV per atom

Cell and atoms, written as POSCAR:
```
PmSmPO
1.0
-2.1311 2.7665 2.6576
-2.1582 -3.3780 1.7858
6.4626 -0.8962 6.1151
Pm Sm O P
2 2 2 2
Direct
0.0000 0.5000 0.1065
0.5000 0.0000 0.8935
0.0000 0.0000 0.5000
0.5000 0.5000 0.5000
0.5000 0.5000 0.0000
0.0000 0.0000 0.0000
0.5000 0.0000 0.3026
0.0000 0.5000 0.6974
```



Entry 17:
DFT (GGA-PBE) results for an optimized crystal structure of GdGa2.

Properties
SG	P6/mmm (191)
energy	-4.24	eV/atom

Cell and atoms, written as POSCAR:
```
GdGa2
1.0
4.2246 0.0000 0.0000
-2.1123 3.6586 0.0000
0.0000 0.0000 4.1386
Ga Gd
2 1
Direct
0.6667 0.3334 0.5000
0.3334 0.6667 0.5000
0.0000 0.0000 0.0000
```



Entry 18:
DFT (GGA-PBE) results for an optimized crystal structure of CsLa2CuSeS3.

Properties
SG	Cmcm (63)
energy	-5.46	eV/atom

Cell and atoms, written as POSCAR:
```
CsLa2CuSeS3
1.0
6.2242 3.2292 -3.1293
-6.3308 0.8388 4.2637
7.5755 -3.1087 11.8597
Se Cu S Cs La
2 2 6 2 4
Direct
0.5781 0.4219 0.7500
0.4219 0.5781 0.2500
0.1713 0.8287 0.7500
0.8287 0.1713 0.2500
0.0000 0.0000 0.0000
0.2543 0.7457 0.6100
0.7457 0.2543 0.1100
0.0000 0.0000 0.5000
0.2543 0.7457 0.8900
0.7457 0.2543 0.3900
0.1100 0.8900 0.2500
0.8900 0.1100 0.7500
0.3658 0.6342 0.4445
0.6342 0.3658 0.5555
0.3658 0.6342 0.0555
0.6342 0.3658 0.9445
```



Entry 19:
DFT (GGA-PBE) results for an optimized crystal structure of K9Fe2Se7.

Properties
SG	P2_13 (198)
energy	-3.79	eV/atom

Cell and atoms, written as POSCAR:
```
K9Fe2Se7
1.0
13.1812 0.0000 0.0000
0.0000 13.1812 0.0000
0.0000 0.0000 13.1812
K Fe Se
36 8 28
Direct
0.0565 0.0565 0.0565
0.7056 0.8202 0.5420
0.9182 0.0818 0.5818
0.3024 0.8319 0.0025
0.0025 0.3024 0.8319
0.3319 0.4975 0.6976
0.2056 0.6798 0.4580
0.5565 0.4435 0.9435
0.4975 0.6976 0.3319
0.1976 0.1681 0.5025
0.7407 0.2593 0.7593
0.5420 0.7056 0.8202
0.8024 0.6681 0.9975
0.4182 0.4182 0.4182
0.6976 0.3319 0.4975
0.6798 0.4580 0.2056
0.5818 0.9182 0.0818
0.9975 0.8024 0.6681
0.1798 0.0420 0.7944
0.6681 0.9975 0.8024
0.8202 0.5420 0.7056
0.9580 0.2944 0.3202
0.2944 0.3202 0.9580
0.4435 0.9435 0.5565
0.4580 0.2056 0.6798
0.2407 0.2407 0.2407
0.7944 0.1798 0.0420
0.0818 0.5818 0.9182
0.3202 0.9580 0.2944
0.2593 0.7593 0.7407
0.5025 0.1976 0.1681
0.7593 0.7407 0.2593
0.0420 0.7944 0.1798
0.9435 0.5565 0.4435
0.1681 0.5025 0.1976
0.8319 0.0025 0.3024
0.4296 0.0704 0.9296
0.9296 0.4296 0.0704
0.0704 0.9296 0.4296
0.5704 0.5704 0.5704
0.3992 0.6008 0.1008
0.8992 0.8992 0.8992
0.6008 0.1008 0.3992
0.1008 0.3992 0.6008
0.0860 0.5696 0.6682
0.9140 0.0696 0.8318
0.5621 0.1905 0.9250
0.0750 0.0621 0.3095
0.8318 0.9140 0.0696
0.4379 0.6905 0.5750
0.5696 0.6682 0.0860
0.3318 0.5860 0.9304
0.9250 0.5621 0.1905
0.5860 0.9304 0.3318
0.7099 0.2099 0.2901
0.6905 0.5750 0.4379
0.4250 0.9379 0.8095
0.7901 0.7901 0.7901
0.4304 0.1682 0.4140
0.5750 0.4379 0.6905
0.2901 0.7099 0.2099
0.9379 0.8095 0.4250
0.0696 0.8318 0.9140
0.4140 0.4304 0.1682
0.8095 0.4250 0.9379
0.1682 0.4140 0.4304
0.3095 0.0750 0.0621
0.2099 0.2901 0.7099
0.1905 0.9250 0.5621
0.6682 0.0860 0.5696
0.0621 0.3095 0.0750
0.9304 0.3318 0.5860
```



Entry 20:
DFT (GGA-PBE) results for an optimized crystal structure of HfAg2Bi.

Properties
SG	F-43m (216)
energy	-4.72	eV/atom

Cell and atoms, written as POSCAR:
```
HfAg2Bi
1.0
-0.7874 -2.8354 3.9619
-3.3199 1.3615 3.3883
-4.2349 -2.4943 0.4470
Bi Ag Hf
1 2 1
Direct
0.5000 0.5000 0.5000
0.7500 0.7500 0.7500
0.0000 0.0000 0.0000
0.2500 0.2500 0.2500
```